The following is a PBEsol calculation of GeTe3Pb after structural relaxation, from Alexandria.

```
GeTe3Pb
1.0
5.7053 0.0000 0.0000
0.0000 5.7053 0.0000
0.0000 0.0000 5.7053
Pb Te Ge
1 3 1
Direct
0.0000 0.0000 0.0000 Pb
0.5000 0.0000 0.0000 Te
0.0000 0.5000 0.0000 Te
0.0000 0.0000 0.5000 Te
0.5000 0.5000 0.5000 Ge
```

Calculated values
Formation energy without anion corrections (eV/f.u.): 4.12

The following is a PBEsol calculation of GaNiAu3 after structural relaxation, from Alexandria.

```
GaNiAu3
1.0
-2.6523 1.5345 -3.5619
2.6326 -2.4563 -3.0186
-2.8480 -3.6997 0.5268
Ga Ni Au
1 1 3
Direct
0.5000 0.5000 0.5000 Ga
0.0000 0.0000 0.0000 Ni
0.5000 0.0000 0.0000 Au
0.0000 0.5000 0.0000 Au
0.0000 0.0000 0.5000 Au
```

Calculated values
Energy relative to the elements (eV/atom): 0.659

The following is a PBEsol calculation of CsSc2SeN after structural relaxation, from Alexandria.

```
CsSc2SeN
1.0
4.2557 0.0000 0.0000
0.0000 5.2908 0.0000
0.0000 0.0000 5.2908
Sc Cs Se N
2 1 1 1
Direct
0.0000 0.5000 0.0000 Sc
0.0000 0.0000 0.5000 Sc
0.0000 0.0000 0.0000 Cs
0.5000 0.5000 0.5000 Se
0.5000 0.0000 0.0000 N
```

Calculated values
Formation energy without anion corrections (eV/f.u.): 6.56

We obtain D(E_F) values of 4.8; 5.9; 4.7 states/eV/cell for the records listed above, in that order.